# 1
The following is a DFT calculation (GGA-PBEsol) of a relaxed AlReRh2 crystal.

Calculated values
ΔE_f	-0.364	eV/atom
M_tot	0.00	μB/atom
SG	Pmm2 (25)
uncorrected energy	-8.789	eV/atom

Lattice parameters (Å, degrees): 2.7269 4.3431 4.6521 90.00 90.00 90.00
Closest atoms and distances in Å follow each position.
Sites, in units of the cell vectors:
Al (0.0000, 0.0000, 0.0000)  8 Rh 2.62-2.77, 2 Al 2.73, 2 Re 2.76
Re (0.0000, 0.5000, 0.6333)  8 Rh 2.64-2.75, 2 Re 2.73, 2 Al 2.76
Rh (0.5000, 0.0000, 0.4807)  4 Al 2.62-2.77, 4 Re 2.66, 4 Rh 2.73-2.75
Rh (0.5000, 0.5000, 0.1197)  4 Al 2.62, 4 Re 2.64-2.75, 4 Rh 2.73-2.75

=====

# 2
The following is a DFT calculation (GGA-PBEsol) of a relaxed AlReRh crystal.

Calculated values
ΔE_f	0.614	eV/atom
M_tot	0.31	μB/atom
SG	F-43m (216)
uncorrected energy	-7.907	eV/atom

Lattice parameters (Å, degrees): 5.7500 5.7500 5.7500 90.00 90.00 90.00
Closest atoms and distances in Å follow each position.
Sites, in units of the cell vectors:
Al (0.0000, 0.0000, 0.0000)  4 Re 2.49, 4 Rh 2.49
Al (0.0000, 0.5000, 0.5000)  4 Rh 2.49, 4 Re 2.49
Al (0.5000, 0.0000, 0.5000)  4 Rh 2.49, 4 Re 2.49
Al (0.5000, 0.5000, 0.0000)  4 Re 2.49, 4 Rh 2.49
Re (0.2500, 0.2500, 0.2500)  4 Al 2.49
Re (0.2500, 0.7500, 0.7500)  4 Al 2.49
Re (0.7500, 0.2500, 0.7500)  4 Al 2.49
Re (0.7500, 0.7500, 0.2500)  4 Al 2.49
Rh (0.2500, 0.2500, 0.7500)  4 Al 2.49
Rh (0.2500, 0.7500, 0.2500)  4 Al 2.49
Rh (0.7500, 0.2500, 0.2500)  4 Al 2.49
Rh (0.7500, 0.7500, 0.7500)  4 Al 2.49

=====

# 3
The following is a DFT calculation (GGA-PBEsol) of a relaxed AlReRh3 crystal.

Calculated values
ΔE_f	1.131	eV/atom
M_tot	0.62	μB/atom
SG	Pm-3m (221)
uncorrected energy	-7.237	eV/atom

Lattice parameters (Å, degrees): 4.3023 4.3023 4.3023 90.00 90.00 90.00
Closest atoms and distances in Å follow each position.
Sites, in units of the cell vectors:
Al (0.0000, 0.0000, 0.0000)  6 Rh 2.15
Re (0.5000, 0.5000, 0.5000)  12 Rh 3.04
Rh (0.0000, 0.0000, 0.5000)  2 Al 2.15
Rh (0.0000, 0.5000, 0.0000)  2 Al 2.15
Rh (0.5000, 0.0000, 0.0000)  2 Al 2.15